# 1
Computed, not measured: crystalline YBe2Br at its relaxed geometry at the PBE-GGA level of DFT.

a b c (Å): 5.229 5.229 5.229
angles (deg): 135.85 127.37 71.07
Positions (direct):
Y1 0.000 0.000 0.000
Be1 0.255 0.755 0.500
Be2 0.368 0.368 0.000
Br1 0.737 0.237 0.500

Results
Offset from the most stable computed form (meV/atom): 414

=====

# 2
Computed, not measured: crystalline Li3Tb3USe8 at its relaxed geometry at the PBE-GGA level of DFT.

a b c (Å): 8.042 8.042 8.042
angles (deg): 61.39 61.39 61.39
Positions (direct):
Li1 0.000 0.500 0.500
Li2 0.500 0.000 0.500
Li3 0.500 0.500 0.000
Tb1 0.000 0.000 0.500
Tb2 0.000 0.500 0.000
Tb3 0.500 0.000 0.000
U1 0.500 0.500 0.500
Se1 0.251 0.251 0.251
Se2 0.253 0.253 0.746
Se3 0.253 0.746 0.253
Se4 0.254 0.747 0.747
Se5 0.746 0.253 0.253
Se6 0.747 0.254 0.747
Se7 0.747 0.747 0.254
Se8 0.749 0.749 0.749

Results
Total DFT energy (no corrections) (Ry/atom): -0.4033

=====

# 3
Computed, not measured: crystalline Hf2MgCr at its relaxed geometry at the PBE-GGA level of DFT.

a b c (Å): 9.385 9.385 9.385
angles (deg): 19.46 19.46 19.46
Positions (direct):
Hf1 0.236 0.236 0.236
Hf2 0.764 0.764 0.764
Mg1 0.000 0.000 0.000
Cr1 0.500 0.500 0.500

Results
DFT formation energy (eV per formula unit): 1.1

=====

# 4
Computed, not measured: crystalline Ca4BeIn at its relaxed geometry at the PBE-GGA level of DFT.

a b c (Å): 6.633 6.633 6.633
angles (deg): 60.00 60.00 60.00
Positions (direct):
Ca1 0.125 0.125 0.125
Ca2 0.125 0.125 0.625
Ca3 0.125 0.625 0.125
Ca4 0.625 0.125 0.125
Be1 0.500 0.500 0.500
In1 0.750 0.750 0.750

Results
DFT formation energy (eV per formula unit): 3.7

=====

# 5
Computed, not measured: crystalline NpCo5P6 at its relaxed geometry at the PBE-GGA level of DFT.

a b c (Å): 5.661 5.661 6.315
angles (deg): 100.52 100.52 124.27
Positions (direct):
Np1 0.000 0.000 0.000
Co1 0.129 0.871 0.500
Co2 0.312 0.688 0.000
Co3 0.500 0.500 0.500
Co4 0.688 0.312 0.000
Co5 0.871 0.129 0.500
P1 0.079 0.464 0.307
P2 0.349 0.349 0.781
P3 0.464 0.079 0.307
P4 0.536 0.921 0.693
P5 0.651 0.651 0.219
P6 0.921 0.536 0.693

Results
DFT formation energy (eV per formula unit): -4.5

=====

# 6
Computed, not measured: crystalline Rb4Ac3InO8 at its relaxed geometry at the PBE-GGA level of DFT.

a b c (Å): 7.545 7.545 7.943
angles (deg): 118.36 118.36 59.97
Positions (direct):
Rb1 0.000 0.000 0.000
Rb2 0.000 0.500 0.000
Rb3 0.500 0.000 0.000
Rb4 0.500 0.500 0.000
Ac1 0.000 0.000 0.500
Ac2 0.000 0.500 0.500
Ac3 0.500 0.000 0.500
In1 0.500 0.500 0.500
O1 0.228 0.228 0.686
O2 0.248 0.718 0.684
O3 0.281 0.281 0.315
O4 0.282 0.752 0.316
O5 0.718 0.248 0.684
O6 0.719 0.719 0.685
O7 0.752 0.282 0.316
O8 0.772 0.772 0.314

Results
Total DFT energy (no corrections) (Ry/atom): -0.4309

=====

# 7
Computed, not measured: crystalline Li2TaTc at its relaxed geometry at the PBE-GGA level of DFT.

a b c (Å): 2.671 2.671 9.322
angles (deg): 90.00 90.00 90.00
Positions (direct):
Li1 0.000 0.000 0.000
Li2 0.500 0.500 0.264
Ta1 0.000 0.000 0.528
Tc1 0.500 0.500 0.770

Results
Offset from the most stable computed form (meV/atom): 189
DFT formation energy (eV per formula unit): 1.3

=====

# 8
Computed, not measured: crystalline Tb2Nd7Mg2 at its relaxed geometry at the PBE-GGA level of DFT.

a b c (Å): 10.498 10.498 10.498
angles (deg): 159.07 114.46 69.63
Positions (direct):
Tb1 0.195 0.000 0.195
Tb2 0.805 0.000 0.805
Nd1 0.105 0.337 0.768
Nd2 0.181 0.181 0.000
Nd3 0.430 0.663 0.768
Nd4 0.500 0.500 0.000
Nd5 0.570 0.337 0.232
Nd6 0.819 0.819 0.000
Nd7 0.895 0.663 0.232
Mg1 0.339 0.839 0.500
Mg2 0.661 0.161 0.500

Results
Offset from the most stable computed form (meV/atom): 0
DFT formation energy (eV per formula unit): 0.8

=====

# 9
Computed, not measured: crystalline BaMg3Ag at its relaxed geometry at the PBE-GGA level of DFT.

a b c (Å): 5.305 5.305 5.305
angles (deg): 90.00 90.00 90.00
Positions (direct):
Ba1 0.000 0.000 0.000
Mg1 0.000 0.500 0.500
Mg2 0.500 0.000 0.500
Mg3 0.500 0.500 0.000
Ag1 0.500 0.500 0.500

Results
Offset from the most stable computed form (meV/atom): 42
DFT formation energy (eV per formula unit): -0.4

=====

# 10
Computed, not measured: crystalline NaNi4Bi12 at its relaxed geometry at the PBE-GGA level of DFT.

a b c (Å): 8.411 8.411 8.411
angles (deg): 109.47 109.47 109.47
Positions (direct):
Na1 0.000 0.000 0.000
Ni1 0.000 0.000 0.500
Ni2 0.000 0.500 0.000
Ni3 0.500 0.000 0.000
Ni4 0.500 0.500 0.500
Bi1 0.164 0.331 0.495
Bi2 0.164 0.669 0.833
Bi3 0.167 0.836 0.331
Bi4 0.331 0.167 0.836
Bi5 0.331 0.495 0.164
Bi6 0.495 0.164 0.331
Bi7 0.505 0.836 0.669
Bi8 0.669 0.505 0.836
Bi9 0.669 0.833 0.164
Bi10 0.833 0.164 0.669
Bi11 0.836 0.331 0.167
Bi12 0.836 0.669 0.505

Results
DFT formation energy (eV per formula unit): -0.9

=====

# 11
Computed, not measured: crystalline Y2HoCu3 at its relaxed geometry at the PBE-GGA level of DFT.

a b c (Å): 3.465 3.465 10.454
angles (deg): 90.00 90.00 90.00
Positions (direct):
Y1 0.000 0.000 0.168
Y2 0.000 0.000 0.832
Ho1 0.000 0.000 0.500
Cu1 0.500 0.500 0.000
Cu2 0.500 0.500 0.337
Cu3 0.500 0.500 0.663

Results
DFT formation energy (eV per formula unit): -1.5

=====

# 12
Computed, not measured: crystalline K2InHF6 at its relaxed geometry at the PBE-GGA level of DFT.

a b c (Å): 5.820 5.820 5.820
angles (deg): 109.81 109.67 108.93
Positions (direct):
K1 0.250 0.250 0.000
K2 0.750 0.750 0.000
In1 0.500 0.000 0.500
H1 0.000 0.500 0.500
F1 0.171 0.671 0.500
F2 0.283 0.218 0.501
F3 0.283 0.782 0.065
F4 0.717 0.218 0.935
F5 0.717 0.782 0.499
F6 0.829 0.329 0.500

Results
Total DFT energy (no corrections) (Ry/atom): -0.3227